[1]
Crystalline Zn5Sn12Hg3 at its relaxed geometry. Source: Alexandria, functional PBE.

Computed properties:
Formation enthalpy at 0 K: 0.18 eV/atom
ρ: 6.901 g/cm3
Total moment: 0.0 μB per formula unit

Structure (CIF):
```
data_Zn5Sn12Hg3
_space_group_name_H-M_alt 'I a -3 d'
_space_group_IT_number 230
_space_group_name_Hall '-I 4bd 2c 3'
_cell_length_a 16.546
_cell_length_b 16.546
_cell_length_c 16.546
_cell_angle_alpha 90.00
_cell_angle_beta 90.00
_cell_angle_gamma 90.00
loop_
_atom_site_label
_atom_site_type_symbol
_atom_site_fract_x
_atom_site_fract_y
_atom_site_fract_z
Zn1 Zn 0.000 0.000 0.000
Zn2 Zn 0.000 0.250 0.375
Sn1 Sn 0.025 0.077 0.647
Hg1 Hg 0.000 0.250 0.125
```



[2]
Crystalline ZnSn2Hg2 at its relaxed geometry. Source: Alexandria, functional PBE.

Computed properties:
Formation enthalpy at 0 K: 0.17 eV/atom
ρ: 9.206 g/cm3
Total moment: 0.0 μB per formula unit

Structure (CIF):
```
data_ZnSn2Hg2
_space_group_name_H-M_alt 'P 4/m b m'
_space_group_IT_number 127
_space_group_name_Hall '-P 4 2ab'
_cell_length_a 7.113
_cell_length_b 7.113
_cell_length_c 5.019
_cell_angle_alpha 90.00
_cell_angle_beta 90.00
_cell_angle_gamma 90.00
loop_
_atom_site_label
_atom_site_type_symbol
_atom_site_fract_x
_atom_site_fract_y
_atom_site_fract_z
Zn1 Zn 0.000 0.000 0.000
Sn1 Sn 0.174 0.326 0.500
Hg1 Hg 0.147 0.647 0.000
```



[3]
Crystalline Zn3Sn12Hg5 at its relaxed geometry. Source: Alexandria, functional PBE.

Computed properties:
Formation enthalpy at 0 K: 0.16 eV/atom
ρ: 7.272 g/cm3
Total moment: 0.0 μB per formula unit

Structure (CIF):
```
data_Zn3Sn12Hg5
_space_group_name_H-M_alt 'I a -3 d'
_space_group_IT_number 230
_space_group_name_Hall '-I 4bd 2c 3'
_cell_length_a 16.860
_cell_length_b 16.860
_cell_length_c 16.860
_cell_angle_alpha 90.00
_cell_angle_beta 90.00
_cell_angle_gamma 90.00
loop_
_atom_site_label
_atom_site_type_symbol
_atom_site_fract_x
_atom_site_fract_y
_atom_site_fract_z
Zn1 Zn 0.000 0.250 0.125
Sn1 Sn 0.019 0.088 0.649
Hg1 Hg 0.000 0.000 0.000
Hg2 Hg 0.000 0.250 0.375
```



[4]
Crystalline Zn2SnHg at its relaxed geometry. Source: Alexandria, functional PBE.

Computed properties:
Formation enthalpy at 0 K: 0.15 eV/atom
ρ: 8.294 g/cm3
Total moment: 0.0 μB per formula unit

Structure (CIF):
```
data_Zn2SnHg
_space_group_name_H-M_alt 'I -4 2 d'
_space_group_IT_number 122
_space_group_name_Hall 'I -4 2bw'
_cell_length_a 4.443
_cell_length_b 4.443
_cell_length_c 18.260
_cell_angle_alpha 90.00
_cell_angle_beta 90.00
_cell_angle_gamma 90.00
loop_
_atom_site_label
_atom_site_type_symbol
_atom_site_fract_x
_atom_site_fract_y
_atom_site_fract_z
Zn1 Zn 0.220 0.250 0.125
Sn1 Sn 0.000 0.000 0.500
Hg1 Hg 0.000 0.000 0.000
```



[5]
Crystalline Zn2SnHg at its relaxed geometry. Source: Alexandria, functional PBE.

Computed properties:
Formation enthalpy at 0 K: 0.14 eV/atom
ρ: 8.882 g/cm3
Total moment: 0.0 μB per formula unit

Structure (CIF):
```
data_Zn2SnHg
_space_group_name_H-M_alt 'P 4/m m m'
_space_group_IT_number 123
_space_group_name_Hall '-P 4 2'
_cell_length_a 4.539
_cell_length_b 4.539
_cell_length_c 4.084
_cell_angle_alpha 90.00
_cell_angle_beta 90.00
_cell_angle_gamma 90.00
loop_
_atom_site_label
_atom_site_type_symbol
_atom_site_fract_x
_atom_site_fract_y
_atom_site_fract_z
Zn1 Zn 0.000 0.500 0.000
Sn1 Sn 0.000 0.000 0.500
Hg1 Hg 0.500 0.500 0.500
```



[6]
Crystalline ZnSn2Hg4 at its relaxed geometry. Source: Alexandria, functional PBE.

Computed properties:
Formation enthalpy at 0 K: 0.19 eV/atom
ρ: 8.789 g/cm3
Total moment: 0.0 μB per formula unit

Structure (CIF):
```
data_ZnSn2Hg4
_space_group_name_H-M_alt 'I 4/m m m'
_space_group_IT_number 139
_space_group_name_Hall '-I 4 2'
_cell_length_a 5.367
_cell_length_b 5.367
_cell_length_c 14.501
_cell_angle_alpha 90.00
_cell_angle_beta 90.00
_cell_angle_gamma 90.00
loop_
_atom_site_label
_atom_site_type_symbol
_atom_site_fract_x
_atom_site_fract_y
_atom_site_fract_z
Zn1 Zn 0.000 0.000 0.000
Sn1 Sn 0.000 0.000 0.386
Hg1 Hg 0.000 0.000 0.187
Hg2 Hg 0.000 0.500 0.000
```



[7]
Crystalline ZrSnHg2 at its relaxed geometry. Source: Alexandria, functional PBE.

Computed properties:
Formation enthalpy at 0 K: 0.02 eV/atom
ρ: 10.358 g/cm3
Total moment: 0.0 μB per formula unit

Structure (CIF):
```
data_ZrSnHg2
_space_group_name_H-M_alt 'I -4 2 d'
_space_group_IT_number 122
_space_group_name_Hall 'I -4 2bw'
_cell_length_a 8.084
_cell_length_b 8.084
_cell_length_c 5.996
_cell_angle_alpha 90.00
_cell_angle_beta 90.00
_cell_angle_gamma 90.00
loop_
_atom_site_label
_atom_site_type_symbol
_atom_site_fract_x
_atom_site_fract_y
_atom_site_fract_z
Zr1 Zr 0.000 0.000 0.000
Sn1 Sn 0.000 0.000 0.500
Hg1 Hg 0.249 0.250 0.625
```



[8]
Crystalline Zr4SnHg at its relaxed geometry. Source: Alexandria, functional PBE.

Computed properties:
Formation enthalpy at 0 K: 0.04 eV/atom
ρ: 7.619 g/cm3
Total moment: 0.0 μB per formula unit

Structure (CIF):
```
data_Zr4SnHg
_space_group_name_H-M_alt 'P -1'
_space_group_IT_number 2
_cell_length_a 5.571
_cell_length_b 6.532
_cell_length_c 8.777
_cell_angle_alpha 99.47
_cell_angle_beta 108.50
_cell_angle_gamma 90.17
loop_
_space_group_symop_operation_xyz
'x,y,z'
'-x,-y,-z'
loop_
_atom_site_label
_atom_site_type_symbol
_atom_site_fract_x
_atom_site_fract_y
_atom_site_fract_z
Zr1 Zr 0.021 0.099 0.286
Zr2 Zr 0.266 0.598 0.285
Zr3 Zr 0.318 0.566 0.850
Zr4 Zr 0.468 0.935 0.150
Sn1 Sn 0.112 0.250 0.999
Hg1 Hg 0.000 0.500 0.500
Hg2 Hg 0.500 0.000 0.500
```



Electronic total energy, record by record: -413.7, -18.1, -401.2, -25.1, -6.3, -18.2, -52.2, -76.5 eV for the cell shown